No. 1
A plane-wave DFT calculation with GGA-PBE was carried out for an optimized crystal structure of Li3CdS2.

a b c (Å): 6.285 6.077 7.464
angles (deg): 114.02 114.90 90.00
Fractional positions:
Li  0.500  0.250  0.000
Li  0.500  0.750  0.000
Li  0.764  0.014  0.528
Li  0.236  0.486  0.472
Li  0.236  0.986  0.472
Li  0.764  0.514  0.528
Cd  0.000  0.500  0.000
Cd  0.000  0.000  0.000
S  0.548  0.355  0.710
S  0.838  0.145  0.290
S  0.162  0.855  0.710
S  0.452  0.645  0.290

Summary:
**Electronic total energy**: -0.1228 Ha/atom
**Energy relative to the elements, uncorrected**: -0.856 eV per atom



No. 2
A plane-wave DFT calculation with GGA-PBE was carried out for an optimized crystal structure of SrSbRu2.

a b c (Å): 4.883 4.883 4.883
angles (deg): 60.00 60.00 60.00
Last column: magnetic moment on the atom in μB.
Fractional positions:
Ru  0.000  0.000  0.000  1.71
Ru  0.250  0.250  0.250  1.16
Sb  0.500  0.500  0.500  0.02
Sr  0.750  0.750  0.750  0.03

Summary:
**Electronic total energy**: -0.2035 Ha/atom
**Energy relative to the elements, uncorrected**: 0.552 eV per atom



No. 3
A plane-wave DFT calculation with GGA-PBE was carried out for an optimized crystal structure of CePmSmTh.

a b c (Å): 5.697 5.697 5.697
angles (deg): 60.00 60.00 60.00
Last column: magnetic moment on the atom in μB.
Fractional positions:
Ce  0.750  0.750  0.750  0.80
Sm  0.250  0.250  0.250  0.13
Th  0.000  0.000  0.000  0.24
Pm  0.500  0.500  0.500  0.15

Summary:
**Energy of formation**: 0.24 eV/atom
**Electronic total energy**: -0.2009 Ha/atom



No. 4
A plane-wave DFT calculation with GGA-PBE was carried out for an optimized crystal structure of GdDyNiRu.

a b c (Å): 4.819 4.819 4.819
angles (deg): 60.00 60.00 60.00
Last column: magnetic moment on the atom in μB.
Fractional positions:
Ru  0.250  0.250  0.250  -0.07
Gd  0.000  0.000  0.000  7.01
Ni  0.750  0.750  0.750  0.01
Dy  0.500  0.500  0.500  0.01

Summary:
**Energy of formation**: -0.36 eV/atom
**Electronic total energy**: -0.3231 Ha/atom



No. 5
A plane-wave DFT calculation with GGA-PBE was carried out for an optimized crystal structure of NaPm3Er2Te6.

a b c (Å): 4.394 8.897 9.919
angles (deg): 103.42 102.80 90.00
Fractional positions:
Na  0.500  0.000  0.000
Pm  0.500  0.500  0.000
Pm  0.840  0.179  0.680
Pm  0.160  0.821  0.320
Er  0.834  0.662  0.669
Er  0.166  0.338  0.331
Te  0.331  0.909  0.662
Te  0.669  0.576  0.339
Te  0.669  0.091  0.338
Te  0.006  0.247  0.011
Te  0.994  0.753  0.989
Te  0.331  0.424  0.661

Summary:
**Electronic total energy**: -0.1823 Ha/atom
**Energy relative to the elements, uncorrected**: -1.331 eV per atom



No. 6
A plane-wave DFT calculation with GGA-PBE was carried out for an optimized crystal structure of NpNbS3.

a b c (Å): 3.554 7.024 8.333
angles (deg): 93.66 102.34 104.66
Last column: magnetic moment on the atom in μB.
Fractional positions:
Np  0.919  0.030  0.891  3.70
Np  0.578  0.516  0.722  3.70
Nb  0.617  0.893  0.425  -0.08
Nb  0.879  0.653  0.188  -0.08
S  0.882  0.233  0.614  -0.10
S  0.192  0.824  0.643  -0.08
S  0.094  0.020  0.253  -0.03
S  0.304  0.721  0.971  -0.08
S  0.402  0.526  0.361  -0.03
S  0.615  0.313  0.000  -0.10

Summary:
**Electronic total energy**: -0.3052 Ha/atom
**Energy relative to the elements, uncorrected**: -1.225 eV per atom



Spin magnetization values, unit μB per cell, following the record order: 0.108; 3.096; 2.043; 7.062; 0.000; 7.315.